MgBi2MoO6 after structural relaxation, computed with PBE with a Hubbard U.

a b c (Å): 5.6484 5.8481 7.9676
angles (deg): 90.00 90.68 90.00
With the nearest neighbours (Å) after each atom.
Fractional positions:
O: 0.1743 0.1843 0.4685  1 Mg 2.11, 1 Mo 2.14, 1 Bi 2.31
Mo: 0.5000 0.0000 0.5000  6 O 2.06-2.14
O: 0.1042 0.4634 0.7549  1 Mo 2.06, 1 Mg 2.12
Bi: 0.0074 0.9397 0.2720  6 O 2.31-2.57
Bi: 0.9926 0.0603 0.7280  6 O 2.31-2.57
O: 0.8958 0.5366 0.2451  1 Mo 2.06, 1 Mg 2.12
Mo: 0.0000 0.5000 0.0000  6 O 2.06-2.14
Bi: 0.4926 0.4397 0.2280  6 O 2.31-2.57
O: 0.3958 0.9634 0.7451  1 Mo 2.06, 1 Mg 2.12
O: 0.6042 0.0366 0.2549  1 Mo 2.06, 1 Mg 2.12
O: 0.3257 0.6843 0.0315  1 Mg 2.11, 1 Mo 2.14, 1 Bi 2.31
Mg: 0.5000 0.0000 0.0000  6 O 2.11-2.19
O: 0.6743 0.3157 0.9685  1 Mg 2.11, 1 Mo 2.14, 1 Bi 2.31
Mg: 0.0000 0.5000 0.5000  6 O 2.11-2.19
O: 0.7013 0.2808 0.5654  1 Mo 2.06, 1 Mg 2.19
O: 0.8257 0.8157 0.5315  1 Mg 2.11, 1 Mo 2.14, 1 Bi 2.31
O: 0.7987 0.7808 0.9346  1 Mo 2.06, 1 Mg 2.19
Bi: 0.5074 0.5603 0.7720  6 O 2.31-2.57
O: 0.2013 0.2192 0.0654  1 Mo 2.06, 1 Mg 2.19
O: 0.2987 0.7192 0.4346  1 Mo 2.06, 1 Mg 2.19

Output
size of the total moment = 2.000 μB/f.u.
total energy = -6.2844 eV per atom
space-group type = No. 14